# Tb5Pr6Tm | Alexandria via LeMat-Bulk | GGA-PBE | optimized geometry
# formation enthalpy at 0 K	0.011	eV/atom
# energy above the most stable polymorph in this dataset	0.00	eV per formula unit
data_Tb5Pr6Tm
_cell_length_a 6.312
_cell_length_b 10.935
_cell_length_c 11.911
_cell_angle_alpha 90.00
_cell_angle_beta 100.16
_cell_angle_gamma 90.00
_symmetry_space_group_name_H-M 'C 1 2/m 1'
_symmetry_Int_Tables_number 12
loop_
_symmetry_equiv_pos_as_xyz
'x,y,z'
'-x,-y,-z'
'-x,y,-z'
'x,-y,z'
'x+1/2,y+1/2,z'
'-x+1/2,-y+1/2,-z'
'-x+1/2,y+1/2,-z'
'x+1/2,-y+1/2,z'
loop_
_atom_site_label
_atom_site_type_symbol
_atom_site_fract_x
_atom_site_fract_y
_atom_site_fract_z
_atom_site_occupancy
Tb1 Tb 0.000 0.000 0.000 1
Tb2 Tb 0.000 0.167 0.500 1
Tb3 Tb 0.000 0.333 0.000 1
Pr1 Pr 0.249 0.334 0.749 1
Pr2 Pr 0.250 0.000 0.749 1
Tm1 Tm 0.000 0.500 0.500 1

---

# Co2TeCl | Alexandria via LeMat-Bulk | GGA-PBE | optimized geometry
# formation energy (no corrections)	0.8458	eV/atom
# energy above the most stable polymorph in this dataset	3.66	eV per formula unit
data_Co2TeCl
_cell_length_a 6.508
_cell_length_b 6.508
_cell_length_c 6.508
_cell_angle_alpha 90.00
_cell_angle_beta 90.00
_cell_angle_gamma 90.00
_symmetry_space_group_name_H-M 'F -4 3 m'
_symmetry_Int_Tables_number 216
_symmetry_space_group_name_Hall 'F -4 2 3'
loop_
_atom_site_label
_atom_site_type_symbol
_atom_site_fract_x
_atom_site_fract_y
_atom_site_fract_z
_atom_site_occupancy
Co1 Co 0.000 0.000 0.000 1
Co2 Co 0.250 0.250 0.250 1
Te1 Te 0.000 0.000 0.500 1
Cl1 Cl 0.250 0.250 0.750 1

---

# AlCdPb2 | Alexandria via LeMat-Bulk | GGA-PBE | optimized geometry
# formation enthalpy at 0 K	0.123	eV/atom
data_AlCdPb2
_cell_length_a 3.3037
_cell_length_b 3.3037
_cell_length_c 33.8300
_cell_angle_alpha 90.00
_cell_angle_beta 90.00
_cell_angle_gamma 120.00
_symmetry_space_group_name_H-M 'R 3 m'
_symmetry_Int_Tables_number 160
_symmetry_space_group_name_Hall 'R 3 -2"'
loop_
_atom_site_label
_atom_site_type_symbol
_atom_site_fract_x
_atom_site_fract_y
_atom_site_fract_z
_atom_site_occupancy
Al1 Al 0.0000 0.0000 0.0000 1
Cd1 Cd 0.0000 0.0000 0.7337 1
Pb1 Pb 0.0000 0.0000 0.2526 1
Pb2 Pb 0.0000 0.0000 0.4829 1

---

# Sr3La2PrTe6 | Alexandria via LeMat-Bulk | GGA-PBE | optimized geometry
# formation energy (no corrections)	-1.6097	eV/atom
data_Sr3La2PrTe6
_cell_length_a 20.372
_cell_length_b 4.606
_cell_length_c 9.353
_cell_angle_alpha 90.00
_cell_angle_beta 104.76
_cell_angle_gamma 90.00
_symmetry_space_group_name_H-M 'C 1 2/m 1'
_symmetry_Int_Tables_number 12
loop_
_symmetry_equiv_pos_as_xyz
'x,y,z'
'-x,-y,-z'
'-x,y,-z'
'x,-y,z'
'x+1/2,y+1/2,z'
'-x+1/2,-y+1/2,-z'
'-x+1/2,y+1/2,-z'
'x+1/2,-y+1/2,z'
loop_
_atom_site_label
_atom_site_type_symbol
_atom_site_fract_x
_atom_site_fract_y
_atom_site_fract_z
_atom_site_occupancy
Sr1 Sr 0.000 0.000 0.000 1
Sr2 Sr 0.167 0.500 0.333 1
La1 La 0.164 0.500 0.828 1
Pr1 Pr 0.000 0.000 0.500 1
Te1 Te 0.000 0.500 0.254 1
Te2 Te 0.165 0.000 0.583 1
Te3 Te 0.169 0.000 0.078 1

---

# KTa4Cr2 | Alexandria via LeMat-Bulk | GGA-PBE | optimized geometry
# formation enthalpy at 0 K	2.324	eV/atom
data_KTa4Cr2
_cell_length_a 4.558
_cell_length_b 4.558
_cell_length_c 12.853
_cell_angle_alpha 90.00
_cell_angle_beta 90.00
_cell_angle_gamma 90.00
_symmetry_space_group_name_H-M 'I 4/m m m'
_symmetry_Int_Tables_number 139
_symmetry_space_group_name_Hall '-I 4 2'
loop_
_atom_site_label
_atom_site_type_symbol
_atom_site_fract_x
_atom_site_fract_y
_atom_site_fract_z
_atom_site_occupancy
K1 K 0.000 0.000 0.000 1
Ta1 Ta 0.000 0.000 0.203 1
Ta2 Ta 0.000 0.500 0.000 1
Cr1 Cr 0.000 0.000 0.381 1

---

# CaErHgPb | Alexandria via LeMat-Bulk | GGA-PBE | optimized geometry
# formation enthalpy at 0 K	-0.484	eV/atom
# energy above the most stable polymorph in this dataset	0.00	eV per formula unit
data_CaErHgPb
_cell_length_a 4.059
_cell_length_b 5.134
_cell_length_c 5.266
_cell_angle_alpha 90.00
_cell_angle_beta 90.00
_cell_angle_gamma 90.00
_symmetry_space_group_name_H-M 'P m m m'
_symmetry_Int_Tables_number 47
loop_
_symmetry_equiv_pos_as_xyz
'x,y,z'
'-x,-y,-z'
'-x,-y,z'
'x,y,-z'
'x,-y,-z'
'-x,y,z'
'-x,y,-z'
'x,-y,z'
loop_
_atom_site_label
_atom_site_type_symbol
_atom_site_fract_x
_atom_site_fract_y
_atom_site_fract_z
_atom_site_occupancy
Ca1 Ca 0.000 0.000 0.000 1
Er1 Er 0.000 0.500 0.500 1
Hg1 Hg 0.500 0.500 0.000 1
Pb1 Pb 0.500 0.000 0.500 1

---

# NaNiSbN2 | Alexandria via LeMat-Bulk | GGA-PBE | optimized geometry
# formation energy (no corrections)	1.2099	eV/atom
data_NaNiSbN2
_cell_length_a 3.831
_cell_length_b 3.831
_cell_length_c 5.048
_cell_angle_alpha 90.00
_cell_angle_beta 90.00
_cell_angle_gamma 90.00
_symmetry_space_group_name_H-M 'P 4/m m m'
_symmetry_Int_Tables_number 123
_symmetry_space_group_name_Hall '-P 4 2'
loop_
_atom_site_label
_atom_site_type_symbol
_atom_site_fract_x
_atom_site_fract_y
_atom_site_fract_z
_atom_site_occupancy
Na1 Na 0.000 0.000 0.000 1
Ni1 Ni 0.500 0.500 0.500 1
Sb1 Sb 0.500 0.500 0.000 1
N1 N 0.000 0.500 0.500 1

---

# Ac2Sb4Pd3 | Alexandria via LeMat-Bulk | GGA-PBE | optimized geometry
# formation energy (no corrections)	-0.7899	eV/atom
data_Ac2Sb4Pd3
_cell_length_a 6.525
_cell_length_b 16.299
_cell_length_c 8.363
_cell_angle_alpha 90.00
_cell_angle_beta 90.00
_cell_angle_gamma 90.00
_symmetry_space_group_name_H-M 'C m c e'
_symmetry_Int_Tables_number 64
_symmetry_space_group_name_Hall '-C 2ac 2'
loop_
_atom_site_label
_atom_site_type_symbol
_atom_site_fract_x
_atom_site_fract_y
_atom_site_fract_z
_atom_site_occupancy
Ac1 Ac 0.000 0.117 0.083 1
Sb1 Sb 0.000 0.182 0.472 1
Sb2 Sb 0.250 0.051 0.750 1
Pd1 Pd 0.000 0.000 0.500 1
Pd2 Pd 0.250 0.221 0.750 1